DFT (GGA-PBEsol) results for a relaxed structure of TcWSe2.

Properties
SG   Cmmm
Energy above the lowest structure with this stoichiometry   0.152 eV per atom
Total magnetization   0.00 μB/f.u.
Uncorrected formation energy   2.813 eV per formula unit

a = 3.0381 Å, b = 5.3338 Å, c = 8.0551 Å
α = 90.00°, β = 90.00°, γ = 90.00°
With the nearest neighbours (Å) after each atom.
Fractional positions:
Tc 0.0000 0.0000 0.0000  4 Se 2.49
Tc 0.5000 0.5000 0.0000  4 Se 2.49
W 0.0000 0.0000 0.5000  4 Se 2.55
W 0.5000 0.5000 0.5000  4 Se 2.55
Se 0.0000 0.5000 0.2450  2 Tc 2.49, 2 W 2.55
Se 0.0000 0.5000 0.7550  2 Tc 2.49, 2 W 2.55
Se 0.5000 0.0000 0.2450  2 Tc 2.49, 2 W 2.55
Se 0.5000 0.0000 0.7550  2 Tc 2.49, 2 W 2.55